A plane-wave DFT calculation with PBE-GGA was carried out for an optimized crystal structure of TbPr6Tm12.

Lattice parameters (Å, degrees): 8.7076 8.7076 8.7076 98.69 98.69 98.69
Sites, in units of the cell vectors:
Tb  0.0000  0.0000  0.0000
Pr  0.9009  0.3448  0.9009
Pr  0.9009  0.9009  0.3448
Pr  0.3448  0.9009  0.9009
Pr  0.0991  0.0991  0.6552
Pr  0.0991  0.6552  0.0991
Pr  0.6552  0.0991  0.0991
Tm  0.7549  0.2451  0.5000
Tm  0.3548  0.0802  0.3548
Tm  0.3548  0.3548  0.0802
Tm  0.9198  0.6452  0.6452
Tm  0.6452  0.6452  0.9198
Tm  0.6452  0.9198  0.6452
Tm  0.5000  0.7549  0.2451
Tm  0.2451  0.5000  0.7549
Tm  0.2451  0.7549  0.5000
Tm  0.5000  0.2451  0.7549
Tm  0.7549  0.5000  0.2451
Tm  0.0802  0.3548  0.3548

VASP energy   -82.71 eV/cell
Energy above the lowest structure with this stoichiometry   9.3 kJ/mol of atoms
Formation enthalpy at 0 K   0.224 eV/atom